DFT (PBE with a Hubbard U) results for a relaxed LaCr2SbO8 crystal.

* volume: 159.3 Å³/f.u.
* raw total energy: -85.6 eV for the cell shown
* SG: C2/m, No. 12

The structure in POSCAR format:
```
LaCr2SbO8
1.0
-4.084 -2.058 -1.606
1.768 -3.695 -2.597
-0.566 -4.996 4.900
La Sb Cr O
1 1 2 8
direct
0.000 0.000 0.500
0.000 0.000 0.000
0.561 0.561 0.270
0.439 0.439 0.730
0.767 0.209 0.222
0.333 0.332 0.521
0.792 0.234 0.778
0.208 0.766 0.222
0.264 0.262 0.955
0.667 0.668 0.479
0.736 0.738 0.045
0.233 0.791 0.778
```